The following is a PBE calculation of an optimized crystal structure of ScRu2Rh, from Alexandria via LeMat-Bulk.

Results
- density of states at the Fermi level (states/eV/atom) = 1.173
- E_tot (eV per atom) = -8.02

```
data_ScRu2Rh
_symmetry_space_group_name_H-M 'R 3 m'
_symmetry_Int_Tables_number 160
_symmetry_space_group_name_Hall 'R 3 -2"'
_cell_length_a 2.8698
_cell_length_b 2.8698
_cell_length_c 26.1052
_cell_angle_alpha 90.00
_cell_angle_beta 90.00
_cell_angle_gamma 120.00
loop_
_atom_site_label
_atom_site_type_symbol
_atom_site_fract_x
_atom_site_fract_y
_atom_site_fract_z
Sc1 Sc 0.0000 0.0000 0.0000
Ru1 Ru 0.0000 0.0000 0.4985
Ru2 Ru 0.0000 0.0000 0.7548
Rh1 Rh 0.0000 0.0000 0.2519
```

The following is a PBE calculation of an optimized crystal structure of HoNi9Ge2, from Alexandria via LeMat-Bulk.

Results
- density of states at the Fermi level (states/eV/atom) = 1.032
- E_tot (eV per atom) = -5.66

```
data_HoNi9Ge2
_symmetry_space_group_name_H-M 'R -3 m'
_symmetry_Int_Tables_number 166
_symmetry_space_group_name_Hall '-R 3 2"'
_cell_length_a 4.8310
_cell_length_b 4.8310
_cell_length_c 23.1937
_cell_angle_alpha 90.00
_cell_angle_beta 90.00
_cell_angle_gamma 120.00
loop_
_atom_site_label
_atom_site_type_symbol
_atom_site_fract_x
_atom_site_fract_y
_atom_site_fract_z
Ho1 Ho 0.0000 0.0000 0.0000
Ni1 Ni 0.0000 0.0000 0.3340
Ni2 Ni 0.0000 0.0000 0.5000
Ni3 Ni 0.0056 0.5028 0.9133
Ge1 Ge 0.0000 0.0000 0.1377
```

The following is a PBE calculation of an optimized crystal structure of ReRh2Br, from Alexandria via LeMat-Bulk.

Results
- density of states at the Fermi level (states/eV/atom) = 1.434
- E_tot (eV per atom) = -6.40
- polymorph energy (0 for the lowest one) (eV per formula unit) = 1.99

```
data_ReRh2Br
_symmetry_space_group_name_H-M 'I m m m'
_symmetry_Int_Tables_number 71
_symmetry_space_group_name_Hall '-I 2 2'
_cell_length_a 2.874
_cell_length_b 4.753
_cell_length_c 9.163
_cell_angle_alpha 90.00
_cell_angle_beta 90.00
_cell_angle_gamma 90.00
loop_
_atom_site_label
_atom_site_type_symbol
_atom_site_fract_x
_atom_site_fract_y
_atom_site_fract_z
Re1 Re 0.000 0.000 0.000
Rh1 Rh 0.000 0.500 0.252
Br1 Br 0.000 0.000 0.500
```

The following is a PBE calculation of an optimized crystal structure of RbNp4Pd3Se12, from Alexandria via LeMat-Bulk.

Results
- density of states at the Fermi level (states/eV/atom) = 2.042
- E_tot (eV per atom) = -6.21

```
data_RbNp4Pd3Se12
_symmetry_space_group_name_H-M 'I m -3'
_symmetry_Int_Tables_number 204
_symmetry_space_group_name_Hall '-I 2 2 3'
_cell_length_a 10.262
_cell_length_b 10.262
_cell_length_c 10.262
_cell_angle_alpha 90.00
_cell_angle_beta 90.00
_cell_angle_gamma 90.00
loop_
_atom_site_label
_atom_site_type_symbol
_atom_site_fract_x
_atom_site_fract_y
_atom_site_fract_z
Rb1 Rb 0.000 0.000 0.000
Np1 Np 0.250 0.250 0.250
Pd1 Pd 0.000 0.000 0.500
Se1 Se 0.000 0.164 0.319
```

The following is a PBE calculation of an optimized crystal structure of LaAl2Ag2, from Alexandria via LeMat-Bulk.

Results
- density of states at the Fermi level (states/eV/atom) = 0.514
- E_tot (eV per atom) = -3.75

```
data_LaAl2Ag2
_symmetry_space_group_name_H-M 'P 4/m b m'
_symmetry_Int_Tables_number 127
_symmetry_space_group_name_Hall '-P 4 2ab'
_cell_length_a 8.291
_cell_length_b 8.291
_cell_length_c 2.964
_cell_angle_alpha 90.00
_cell_angle_beta 90.00
_cell_angle_gamma 90.00
loop_
_atom_site_label
_atom_site_type_symbol
_atom_site_fract_x
_atom_site_fract_y
_atom_site_fract_z
La1 La 0.000 0.000 0.000
Al1 Al 0.130 0.370 0.000
Ag1 Ag 0.161 0.661 0.500
```

The following is a PBE calculation of an optimized crystal structure of HfGaI2, from Alexandria via LeMat-Bulk.

Results
- density of states at the Fermi level (states/eV/atom) = 0.927
- E_tot (eV per atom) = -4.07
- polymorph energy (0 for the lowest one) (eV per formula unit) = 0.00

```
data_HfGaI2
_symmetry_space_group_name_H-M 'I -4 2 d'
_symmetry_Int_Tables_number 122
_symmetry_space_group_name_Hall 'I -4 2bw'
_cell_length_a 10.405
_cell_length_b 10.405
_cell_length_c 5.508
_cell_angle_alpha 90.00
_cell_angle_beta 90.00
_cell_angle_gamma 90.00
loop_
_atom_site_label
_atom_site_type_symbol
_atom_site_fract_x
_atom_site_fract_y
_atom_site_fract_z
Hf1 Hf 0.000 0.000 0.000
Ga1 Ga 0.000 0.000 0.500
I1 I 0.095 0.250 0.125
```

Q: density of states at the Fermi level of number 2 (HoNi9Ge2)?
A: 1.032 states/eV/atom

Q: The highest density of states at the Fermi level belongs to which entry?
A: RbNp4Pd3Se12